Crystalline Ag2WBr at its relaxed geometry, computed with PBE.

For the raw total energy, the calculation gives -62.87 eV per cell. For the offset from the most stable computed form, the calculation gives 2.80 eV per formula unit. Its uncorrected formation energy is 1.153 eV per atom.

The structure belongs to space group I-42d (No. 122); the cell edges are 7.875, 7.875 and 5.470 Å and the angles 90.00°, 90.00° and 90.00°. The distinct sites, in fractional coordinates, are Ag at (0.242, 0.250, 0.125), W at (0.000, 0.000, 0.000) and Br at (0.000, 0.000, 0.500).